DFT (PBE+U) results for a geometry-optimized NiBiN2O structure.

extended XYZ file:
```
5
Lattice="4.306 0.000 0.000 0.000 4.306 0.000 0.000 0.000 4.191" Properties=species:S:1:pos:R:3 pbc="T T T"
N 2.153 0.000 0.000
O 0.000 0.000 2.096
N 0.000 2.153 0.000
Bi 0.000 0.000 0.000
Ni 2.153 2.153 2.096
```

Calculated values
Total DFT energy (no corrections), eV per cell: -20.2
Crystal system: tetragonal
SG: P4/mmm (123)